Record 1
RbBiAu | GGA-PBE | relaxed

Computed properties:
For the total energy, the calculation gives -2.9132 eV per atom. As for the formation enthalpy at 0 K: -0.20 eV per atom. Its total magnetization is 0.0 μB per formula unit. The volume comes out at 36.8 A^3/atom.

a = 3.933 Å, b = 7.478 Å, c = 7.762 Å
α = 90.00°, β = 75.35°, γ = 90.00°
Positions (direct):
Bi (0.671, 0.931, 0.501)
Bi (0.824, 0.431, 0.194)
Rb (0.925, 0.931, 0.993)
Rb (0.079, 0.431, 0.687)
Au (0.258, 0.694, 0.326)
Au (0.258, 0.168, 0.326)

Record 2
TaSn2Mo | GGA-PBE | relaxed

Computed properties:
For the total energy, the calculation gives -7.3114 eV per atom. As for the formation enthalpy at 0 K: 0.36 eV per atom. Its total magnetization is 0.0 μB per formula unit. The volume comes out at 19.1 A^3/atom.

a = 4.763 Å, b = 4.763 Å, c = 4.763 Å
α = 60.00°, β = 60.00°, γ = 60.00°
Positions (direct):
Mo (0.000, 0.000, 0.000)
Ta (0.500, 0.500, 0.500)
Sn (0.250, 0.250, 0.250)
Sn (0.750, 0.750, 0.750)

Record 3
CaCeGaGe | GGA-PBE | relaxed

Computed properties:
For the total energy, the calculation gives -4.4030 eV per atom. As for the formation enthalpy at 0 K: -0.51 eV per atom. Its total magnetization is 0.6 μB per formula unit. The volume comes out at 24.0 A^3/atom.

a = 5.140 Å, b = 5.140 Å, c = 5.140 Å
α = 60.00°, β = 60.00°, γ = 60.00°
Site moments in Bohr magnetons follow the coordinates.
Positions (direct):
Ca (0.500, 0.500, 0.500)  0.00
Ce (0.000, 0.000, 0.000)  0.55
Ge (0.750, 0.750, 0.750)  0.01
Ga (0.250, 0.250, 0.250)  0.02